[1]
A plane-wave DFT calculation with meta-GGA SCAN was carried out for a PBEsol-optimized structure of CoIr2Os.

Cell: 2.677 3.724 5.281 Å, 90.00 90.00 90.00°
Each line ends with the local moment (μB).
Fractional positions:
1 Os 0.500 0.500 0.000  -0.14
2 Ir 0.000 0.000 0.744  0.06
3 Ir 0.000 0.000 0.256  0.06
4 Co 0.500 0.500 0.500  1.71

Offset from the most stable computed form (meV/atom): 0
SG: No. 47
DFT formation energy (kJ per mole of atoms): 2


[2]
A plane-wave DFT calculation with meta-GGA SCAN was carried out for a PBEsol-optimized structure of ReAgS2Cl.

Cell: 4.634 4.777 4.777 Å, 90.00 90.00 90.00°
Each line ends with the local moment (μB).
Fractional positions:
1 Re 0.500 0.500 0.500  3.77
2 S 0.000 0.000 0.500  -0.13
3 S 0.000 0.500 0.000  -0.13
4 Ag 0.000 0.000 0.000  0.00
5 Cl 0.500 0.000 0.000  0.07

Formation energy from raw total energies (eV per atom): 1.371
SG: No. 123


[3]
A plane-wave DFT calculation with meta-GGA SCAN was carried out for a PBEsol-optimized structure of SbPb2Au.

Cell: 4.078 5.009 5.009 Å, 90.00 90.00 90.00°
Fractional positions:
1 Au 0.500 0.000 0.000
2 Pb 0.000 0.000 0.500
3 Pb 0.000 0.500 0.000
4 Sb 0.500 0.500 0.500

Formation energy from raw total energies (eV per atom): 0.107
SG: No. 123


What did the third record say?
A plane-wave DFT calculation with meta-GGA SCAN was carried out for a PBEsol-optimized structure of SbPb2Au.

Cell: 4.078 5.009 5.009 Å, 90.00 90.00 90.00°
Fractional positions:
1 Au 0.500 0.000 0.000
2 Pb 0.000 0.000 0.500
3 Pb 0.000 0.500 0.000
4 Sb 0.500 0.500 0.500

Formation energy from raw total energies (eV per atom): 0.107
SG: No. 123